Model P:
# FeCo2NiN

An optimized crystal structure of FeCo2NiN (GGA-PBE, Alexandria).

Calculated values
The density of states at the Fermi level comes out at 5.364 states/eV/f.u.

abc: 3.738 3.738 3.764
angles: 90.00 90.00 90.00
Site moments in Bohr magnetons follow the coordinates.
Element x y z (fractional)
Co (0.500, 0.000, 0.000)  1.39
Co (0.000, 0.500, 0.000)  1.39
N (0.000, 0.000, 0.000)  0.10
Ni (0.000, 0.000, 0.500)  0.47
Fe (0.500, 0.500, 0.500)  3.10


Model Q:
# FeCo2NiN

An optimized crystal structure of FeCo2NiN (GGA-PBE, Alexandria).

Calculated values
The density of states at the Fermi level comes out at 5.149 states/eV/f.u.

abc: 3.711 3.711 3.791
angles: 90.00 90.00 90.00
Site moments in Bohr magnetons follow the coordinates.
Element x y z (fractional)
Co (0.500, 0.000, 0.000)  1.36
Co (0.000, 0.500, 0.000)  1.36
N (0.000, 0.000, 0.000)  0.04
Ni (0.500, 0.500, 0.500)  0.83
Fe (0.000, 0.000, 0.500)  2.53


Computed relative energies in units of kJ/mol of atoms: model P 5.3; model Q 0.0